# 1
First-principles (GGA-PBE) data for a geometry-optimized K3HoTa2O8 structure, as listed in Alexandria.

a b c (Å): 6.1753 6.1753 7.7471
angles (deg): 90.00 90.00 120.00
Last column: nearest neighbours and their distance in Å.
Positions (direct):
K 0.3333 0.6667 0.6770  1 O 2.51
K 0.6667 0.3333 0.3230  1 O 2.51
K 0.0000 0.0000 0.0000  6 O 3.10
Ho 0.0000 0.0000 0.5000  6 O 2.26
Ta 0.3333 0.6667 0.2354  4 O 1.82-1.89
Ta 0.6667 0.3333 0.7646  4 O 1.82-1.89
O 0.3333 0.6667 0.0005  1 Ta 1.82
O 0.6667 0.3333 0.9995  1 Ta 1.82
O 0.1692 0.8308 0.3249  1 Ta 1.89
O 0.8308 0.1692 0.6751  1 Ta 1.89
O 0.1692 0.3385 0.3249  1 Ta 1.89
O 0.8308 0.6615 0.6751  1 Ta 1.89
O 0.6615 0.8308 0.3249  1 Ta 1.89
O 0.3385 0.1692 0.6751  1 Ta 1.89

Output
total DFT energy (no corrections)	-7.785	eV/atom
V	256	Å³/cell
crystal system	trigonal
magnetic moment	0.000	μB per formula unit

# 2
First-principles (GGA-PBE) data for a geometry-optimized K4HoTa3O12 structure, as listed in Alexandria.

a b c (Å): 7.1756 7.1756 7.1756
angles (deg): 109.47 109.47 109.47
Last column: nearest neighbours and their distance in Å.
Positions (direct):
K 0.5000 0.5000 0.5000  12 O 2.93
K 0.0000 0.0000 0.5000  12 O 2.93
K 0.5000 0.0000 0.0000  12 O 2.93
K 0.0000 0.5000 0.0000  12 O 2.93
Ho 0.0000 0.0000 0.0000  6 O 2.21
Ta 0.5000 0.0000 0.5000  6 O 1.93-2.07
Ta 0.5000 0.5000 0.0000  6 O 1.93-2.07
Ta 0.0000 0.5000 0.5000  6 O 1.93-2.07
O 0.2500 0.5000 0.7500  2 Ta 2.07
O 0.7330 0.0000 0.7330  1 Ta 1.93
O 0.2670 0.0000 0.2670  1 Ta 1.93
O 0.7500 0.5000 0.2500  2 Ta 2.07
O 0.7330 0.7330 0.0000  1 Ta 1.93
O 0.2670 0.2670 0.0000  1 Ta 1.93
O 0.7500 0.2500 0.5000  2 Ta 2.07
O 0.2500 0.7500 0.5000  2 Ta 2.07
O 0.5000 0.2500 0.7500  2 Ta 2.07
O 0.0000 0.7330 0.7330  1 Ta 1.93
O 0.5000 0.7500 0.2500  2 Ta 2.07
O 0.0000 0.2670 0.2670  1 Ta 1.93

Output
total DFT energy (no corrections)	-7.693	eV/atom
V	284	Å³/cell
crystal system	cubic
magnetic moment	1.785	μB per formula unit

# 3
First-principles (GGA-PBE) data for a geometry-optimized K3TbHo2O6 structure, as listed in Alexandria.

a b c (Å): 6.0247 6.0247 6.5729
angles (deg): 98.79 98.79 120.00
Last column: nearest neighbours and their distance in Å.
Positions (direct):
K 0.1670 0.8330 0.5000  6 O 2.80-2.82
K 0.8330 0.1670 0.5000  6 O 2.80-2.82
K 0.5000 0.5000 0.5000  6 O 2.80-2.82
Tb 0.0000 0.0000 0.0000  6 O 2.33
Ho 0.3333 0.6667 0.0000  6 O 2.31
Ho 0.6667 0.3333 0.0000  6 O 2.31
O 0.9383 0.6023 0.8149  2 Ho 2.31, 1 Tb 2.33
O 0.7257 0.7257 0.1852  2 Ho 2.31, 1 Tb 2.33
O 0.0617 0.3977 0.1851  2 Ho 2.31, 1 Tb 2.33
O 0.6023 0.9383 0.8149  2 Ho 2.31, 1 Tb 2.33
O 0.2743 0.2743 0.8148  2 Ho 2.31, 1 Tb 2.33
O 0.3977 0.0617 0.1851  2 Ho 2.31, 1 Tb 2.33

Output
total DFT energy (no corrections)	-6.673	eV/atom
V	197	Å³/cell
crystal system	monoclinic
magnetic moment	0.000	μB per formula unit

# 4
First-principles (GGA-PBE) data for a geometry-optimized K3Ho3TcO8 structure, as listed in Alexandria.

a b c (Å): 6.7446 6.7443 7.3933
angles (deg): 117.14 90.00 120.00
Last column: nearest neighbours and their distance in Å.
Positions (direct):
K 0.0000 0.0000 0.0000  6 O 2.78-2.79
K 0.0000 0.5000 0.0000  6 O 2.78-2.79
K 0.5000 0.5000 0.0000  6 O 2.78-2.79
Ho 0.5000 0.0000 0.5000  6 O 2.26-2.30
Ho 0.5000 0.5000 0.5000  6 O 2.26-2.30
Ho 0.0000 0.5000 0.5000  6 O 2.26-2.30
Tc 0.0000 0.0000 0.5000  6 O 2.10
O 0.2728 0.5455 0.3183  3 Ho 2.26
O 0.7272 0.4545 0.6817  3 Ho 2.26
O 0.7882 0.5765 0.3269  1 Tc 2.10, 2 Ho 2.30
O 0.2118 0.4235 0.6731  1 Tc 2.10, 2 Ho 2.30
O 0.7883 0.0386 0.3269  1 Tc 2.10, 2 Ho 2.30
O 0.2117 0.9614 0.6731  1 Tc 2.10, 2 Ho 2.30
O 0.2504 0.0387 0.3269  1 Tc 2.10, 2 Ho 2.30
O 0.7496 0.9613 0.6731  1 Tc 2.10, 2 Ho 2.30

Output
total DFT energy (no corrections)	-6.979	eV/atom
V	248	Å³/cell
crystal system	trigonal
magnetic moment	3.000	μB per formula unit